Ba3Pa4Te12 | GGA-PBE | relaxed

a b c (Å): 10.1877 10.1877 10.1877
angles (deg): 109.47 109.47 109.47
Closest atoms and distances in Å follow each position.
Sites, in units of the cell vectors:
1 Ba 0.5000 0.5000 0.0000  4 Te 3.55
2 Te 0.9261 0.2181 0.7081  2 Pa 3.01
3 Te 0.5100 0.2181 0.2919  2 Pa 3.01
4 Te 0.2181 0.7081 0.9261  2 Pa 3.01
5 Ba 0.5000 0.0000 0.5000  4 Te 3.55
6 Pa 0.0000 0.0000 0.5000  6 Te 3.01
7 Pa 0.5000 0.5000 0.5000  6 Te 3.01
8 Te 0.7819 0.2919 0.0739  2 Pa 3.01
9 Pa 0.5000 0.0000 0.0000  6 Te 3.01
10 Te 0.0739 0.7819 0.2919  2 Pa 3.01
11 Te 0.2919 0.5100 0.2181  2 Pa 3.01
12 Te 0.2181 0.2919 0.5100  2 Pa 3.01
13 Te 0.7081 0.9261 0.2181  2 Pa 3.01
14 Te 0.7081 0.4900 0.7819  2 Pa 3.01
15 Te 0.2919 0.0739 0.7819  2 Pa 3.01
16 Pa 0.0000 0.5000 0.0000  6 Te 3.01
17 Te 0.4900 0.7819 0.7081  2 Pa 3.01
18 Ba 0.0000 0.5000 0.5000  4 Te 3.55
19 Te 0.7819 0.7081 0.4900  2 Pa 3.01

Summary:
uncorrected energy = -101.21 eV/cell
size of the total moment = 0.1121 μB/atom

***

Rb2Sb2Cl7 | GGA-PBE | relaxed

a b c (Å): 7.7090 8.1876 8.1875
angles (deg): 107.53 92.55 92.55
Closest atoms and distances in Å follow each position.
Sites, in units of the cell vectors:
1 Sb 0.4053 0.2664 0.2664  4 Cl 2.54-2.73
2 Rb 0.0000 0.3123 0.6877  6 Cl 3.31-3.35
3 Cl 0.2173 0.3724 0.0615  1 Sb 2.54
4 Cl 0.5000 0.0000 0.0000  2 Sb 2.73
5 Rb 0.0000 0.6877 0.3123  6 Cl 3.31-3.35
6 Cl 0.2173 0.0615 0.3724  1 Sb 2.54
7 Sb 0.5947 0.7336 0.7336  4 Cl 2.54-2.73
8 Cl 0.7197 0.4150 0.4150  1 Sb 2.72
9 Cl 0.7827 0.6276 0.9385  1 Sb 2.54
10 Cl 0.2803 0.5850 0.5850  1 Sb 2.72
11 Cl 0.7827 0.9385 0.6276  1 Sb 2.54

Summary:
uncorrected energy = -35.40 eV/cell
size of the total moment = 0.0000 μB/atom

***

Dy4SiPd3 | GGA-PBE | relaxed

a b c (Å): 3.8683 4.3350 10.7422
angles (deg): 90.00 90.00 90.00
Closest atoms and distances in Å follow each position.
Sites, in units of the cell vectors:
1 Dy 0.0000 0.0000 0.1387  3 Pd 2.96-3.01, 4 Si 2.98
2 Dy 0.5000 0.0000 0.6390  7 Pd 2.96-3.09
3 Pd 0.0000 0.5000 0.5862  2 Pd 2.85, 7 Dy 2.95-3.12
4 Dy 0.5000 0.5000 0.3586  6 Pd 2.97-3.12, 1 Si 3.00
5 Dy 0.0000 0.5000 0.8607  5 Pd 2.95-2.98, 2 Si 3.04
6 Pd 0.0000 0.0000 0.4141  2 Pd 2.85, 7 Dy 2.96-3.09
7 Pd 0.5000 0.0000 0.9236  2 Si 2.74, 7 Dy 2.98-3.06
8 Si 0.5000 0.5000 0.0790  2 Pd 2.74, 7 Dy 2.98-3.04

Summary:
uncorrected energy = -46.34 eV/cell
size of the total moment = 0.0000 μB/atom

***

Ge2Ir2Ru | GGA-PBE | relaxed

a b c (Å): 7.2285 7.2285 2.8534
angles (deg): 90.00 90.00 90.00
Closest atoms and distances in Å follow each position.
Sites, in units of the cell vectors:
1 Ir 0.6447 0.8553 0.5000  6 Ge 2.50-2.59
2 Ru 0.0000 0.0000 0.0000  4 Ge 2.73, 2 Ru 2.85
3 Ir 0.1447 0.6447 0.5000  6 Ge 2.50-2.59
4 Ir 0.8553 0.3553 0.5000  6 Ge 2.50-2.59
5 Ge 0.8451 0.6549 0.0000  6 Ir 2.50-2.59, 2 Ru 2.73
6 Ru 0.5000 0.5000 0.0000  4 Ge 2.73, 2 Ru 2.85
7 Ge 0.6549 0.1549 0.0000  6 Ir 2.50-2.59, 2 Ru 2.73
8 Ge 0.3451 0.8451 0.0000  6 Ir 2.50-2.59, 2 Ru 2.73
9 Ge 0.1549 0.3451 0.0000  6 Ir 2.50-2.59, 2 Ru 2.73
10 Ir 0.3553 0.1447 0.5000  6 Ge 2.50-2.59

Summary:
uncorrected energy = -71.98 eV/cell
size of the total moment = 0.1591 μB/atom

***

Zn3In2O6 | GGA-PBE | relaxed

a b c (Å): 5.8926 6.8153 14.5763
angles (deg): 83.38 86.00 90.04
Closest atoms and distances in Å follow each position.
Sites, in units of the cell vectors:
1 In 0.0024 0.5028 0.9997  6 O 2.21-2.25
2 Zn 0.0709 0.6026 0.5925  3 O 1.93-2.01
3 O 0.6057 0.8756 0.4321  2 Zn 1.99, 1 In 2.10
4 Zn 0.9327 0.8947 0.3886  4 O 1.96-2.02
5 Zn 0.5647 0.3463 0.5995  4 O 1.92-2.14
6 O 0.5435 0.8169 0.7485  3 Zn 2.00-2.04, 1 In 2.23
7 Zn 0.6314 0.4488 0.2129  4 O 2.00-2.08
8 O 0.9186 0.8539 0.5933  2 Zn 1.93, 1 In 2.04
9 O 0.5335 0.3043 0.7476  3 Zn 2.02-2.14, 1 In 2.09
10 O 0.4583 0.1845 0.2542  3 Zn 2.06-2.08, 1 In 2.19
11 O 0.3439 0.0193 0.9282  1 Zn 1.98
12 Zn 0.0681 0.1038 0.5984  4 O 1.93-2.14
13 Zn 0.3702 0.0454 0.7911  4 O 1.98-2.02
14 In 0.8705 0.3039 0.7831  4 O 2.06-2.10
15 O 0.0438 0.5684 0.7490  2 Zn 2.00-2.01, 1 In 2.06
16 O 0.8476 0.7703 0.9244  1 Zn 2.04, 3 In 2.23-2.25
17 O 0.3959 0.5872 0.5985  2 Zn 1.92-1.93, 1 In 2.04
18 In 0.4309 0.1417 0.4058  5 O 2.07-2.31
19 O 0.9549 0.9364 0.2485  4 Zn 2.02-2.04
20 O 0.8459 0.2671 0.9286  4 In 2.10-2.26
21 O 0.0793 0.1334 0.4204  1 Zn 1.96, 2 In 2.07
22 O 0.9015 0.3563 0.5744  3 Zn 1.99-2.01
23 O 0.0545 0.0599 0.7463  3 Zn 2.01-2.14, 1 In 2.09
24 In 0.0005 0.9972 0.0029  6 O 2.21-2.25
25 Zn 0.8719 0.8054 0.7832  4 O 2.00-2.04
26 In 0.5023 0.7490 0.9981  6 O 2.23-2.25
27 O 0.4565 0.6903 0.2480  4 Zn 2.01-2.04
28 Zn 0.4303 0.6608 0.3874  4 O 1.96-2.01
29 O 0.3485 0.5171 0.9236  1 Zn 2.05, 3 In 2.24-2.25
30 In 0.9314 0.4090 0.4100  4 O 2.06-2.23
31 O 0.1561 0.7298 0.0732  1 Zn 1.99, 2 In 2.21-2.22
32 O 0.1515 0.2340 0.0756  1 Zn 2.00, 2 In 2.22-2.24
33 O 0.5808 0.4098 0.4212  1 Zn 1.96, 2 In 2.06-2.07
34 Zn 0.3702 0.5569 0.7814  4 O 2.01-2.06
35 In 0.4956 0.2512 0.0022  6 O 2.22-2.26
36 Zn 0.6308 0.9464 0.2096  4 O 1.98-2.06
37 O 0.1079 0.6605 0.4300  2 Zn 1.96, 1 In 2.06
38 Zn 0.1266 0.1975 0.2143  4 O 2.00-2.08
39 In 0.5724 0.8459 0.5940  4 O 2.04-2.23
40 O 0.6557 0.4814 0.0743  1 Zn 2.00, 2 In 2.23-2.24
41 Zn 0.1305 0.6977 0.2108  4 O 1.99-2.05
42 O 0.9574 0.4396 0.2560  3 Zn 2.05-2.06, 1 In 2.23
43 O 0.4012 0.1141 0.5658  2 Zn 1.98-1.99, 1 In 2.10
44 O 0.6535 0.9828 0.0724  1 Zn 1.98, 1 In 2.21

Summary:
offset from the most stable computed form = 0 meV per atom
size of the total moment = 0.0000 μB/atom

***

MgSiSe | GGA-PBE | relaxed

a b c (Å): 3.9537 3.9537 30.4625
angles (deg): 90.00 90.00 120.00
Closest atoms and distances in Å follow each position.
Sites, in units of the cell vectors:
1 Mg 0.3333 0.6667 0.3230  1 Si 2.62, 3 Se 2.64
2 Mg 0.6667 0.3333 0.2188  3 Se 2.59
3 Si 0.3333 0.6667 0.4091  3 Si 2.40, 1 Mg 2.62
4 Si 0.0000 0.0000 0.7425  3 Si 2.40, 1 Mg 2.62
5 Mg 0.0000 0.0000 0.6563  1 Si 2.62, 3 Se 2.64
6 Si 0.6667 0.3333 0.7667  1 Se 2.39, 3 Si 2.40
7 Mg 0.6667 0.3333 0.9897  1 Si 2.62, 3 Se 2.64
8 Se 0.0000 0.0000 0.2793  6 Mg 2.64-2.93
9 Se 0.3333 0.6667 0.1786  1 Si 2.39, 3 Mg 2.59
10 Se 0.0000 0.0000 0.5119  1 Si 2.39, 3 Mg 2.59
11 Se 0.6667 0.3333 0.8453  1 Si 2.39, 3 Mg 2.59
12 Se 0.6667 0.3333 0.6126  6 Mg 2.64-2.93
13 Si 0.3333 0.6667 0.1001  1 Se 2.39, 3 Si 2.40
14 Mg 0.0000 0.0000 0.8855  3 Se 2.59
15 Si 0.6667 0.3333 0.0758  3 Si 2.40, 1 Mg 2.62
16 Si 0.0000 0.0000 0.4334  1 Se 2.39, 3 Si 2.40
17 Mg 0.3333 0.6667 0.5522  3 Se 2.59
18 Se 0.3333 0.6667 0.9459  6 Mg 2.64-2.93

Summary:
offset from the most stable computed form = 4 meV per atom
size of the total moment = 0.0000 μB/atom

***

NdSmGa | GGA-PBE | relaxed

a b c (Å): 4.5049 8.0734 8.0734
angles (deg): 120.00 90.00 90.00
Closest atoms and distances in Å follow each position.
Sites, in units of the cell vectors:
1 Ga 0.0000 0.6667 0.3333  3 Sm 2.99, 6 Nd 3.33
2 Ga 0.5000 0.0000 0.0000  6 Sm 3.12, 3 Nd 3.26
3 Ga 0.0000 0.3333 0.6667  3 Sm 2.99, 6 Nd 3.33
4 Sm 0.0000 0.7321 0.7321  4 Ga 2.99-3.12
5 Sm 0.0000 0.2679 0.0000  4 Ga 2.99-3.12
6 Nd 0.5000 0.5957 0.0000  5 Ga 3.26-3.33, 6 Sm 3.48-3.65
7 Sm 0.0000 0.0000 0.2679  4 Ga 2.99-3.12
8 Nd 0.5000 0.0000 0.5957  5 Ga 3.26-3.33, 6 Sm 3.48-3.65
9 Nd 0.5000 0.4043 0.4043  5 Ga 3.26-3.33, 6 Sm 3.48-3.65

Summary:
offset from the most stable computed form = 0 meV per atom
size of the total moment = 0.0000 μB/atom

***

Y2Ho12Sc5 | GGA-PBE | relaxed

a b c (Å): 7.0425 9.5125 10.1708
angles (deg): 102.97 90.00 111.73
Closest atoms and distances in Å follow each position.
Sites, in units of the cell vectors:
1 Sc 0.6426 0.2852 0.8765  5 Ho 2.90-3.16
2 Ho 0.5663 0.5923 0.8752  3 Sc 2.90-3.16, 1 Ho 3.24
3 Ho 0.8743 0.7485 0.1726  6 Ho 3.37-3.50, 3 Sc 3.53-3.56, 2 Y 3.67
4 Ho 0.0853 0.6678 0.4297  3 Sc 3.19-3.56, 4 Ho 3.37-3.54
5 Ho 0.9147 0.3322 0.5703  3 Sc 3.19-3.56, 4 Ho 3.37-3.54
6 Ho 0.0260 0.5923 0.8752  3 Sc 2.90-3.16, 1 Ho 3.24
7 Ho 0.4942 0.9885 0.3478  2 Sc 2.90-3.00, 1 Ho 3.05
8 Y 0.7322 0.0000 0.0000  1 Y 3.27, 2 Sc 3.48, 2 Ho 3.53
9 Ho 0.4337 0.4077 0.1248  3 Sc 2.90-3.16, 1 Ho 3.24
10 Ho 0.1257 0.2515 0.8274  6 Ho 3.37-3.50, 3 Sc 3.53-3.56, 2 Y 3.67
11 Y 0.2678 0.0000 0.0000  1 Y 3.27, 2 Sc 3.48, 2 Ho 3.53
12 Ho 0.5825 0.6678 0.4297  3 Sc 3.19-3.56, 4 Ho 3.37-3.54
13 Ho 0.4175 0.3322 0.5703  3 Sc 3.19-3.56, 4 Ho 3.37-3.54
14 Ho 0.9740 0.4077 0.1248  3 Sc 2.90-3.16, 1 Ho 3.24
15 Sc 0.0000 0.0000 0.5000  6 Ho 3.35-3.53
16 Sc 0.3436 0.6872 0.6959  5 Ho 2.90-3.19
17 Ho 0.5058 0.0115 0.6522  2 Sc 2.90-3.00, 1 Ho 3.05
18 Sc 0.6564 0.3128 0.3041  5 Ho 2.90-3.19
19 Sc 0.3574 0.7148 0.1235  5 Ho 2.90-3.16

Summary:
uncorrected energy = -92.40 eV/cell
size of the total moment = 0.0000 μB/atom

***

ScGa2SnO | GGA-PBE | relaxed

a b c (Å): 5.3984 3.9897 5.3984
angles (deg): 90.00 90.00 90.00
Closest atoms and distances in Å follow each position.
Sites, in units of the cell vectors:
1 O 0.0000 0.5000 0.0000  2 Sn 1.99
2 Ga 0.0000 0.0000 0.5000  2 Sn 2.70
3 Sn 0.0000 0.0000 0.0000  2 O 1.99
4 Sc 0.5000 0.5000 0.5000  8 Ga 3.36
5 Ga 0.5000 0.0000 0.0000  2 Sn 2.70

Summary:
uncorrected energy = -20.87 eV/cell
size of the total moment = 0.0000 μB/atom

***

LaTl2TeIr | GGA-PBE | relaxed

a b c (Å): 5.2696 5.2696 5.4634
angles (deg): 90.00 90.00 90.00
Closest atoms and distances in Å follow each position.
Sites, in units of the cell vectors:
1 Tl 0.0000 0.5000 0.0000  2 Ir 2.63
2 Ir 0.0000 0.0000 0.0000  4 Tl 2.63, 2 La 2.73
3 Tl 0.5000 0.0000 0.0000  2 Ir 2.63
4 La 0.0000 0.0000 0.5000  2 Ir 2.73
5 Te 0.5000 0.5000 0.5000  4 La 3.73, 8 Tl 3.80

Summary:
uncorrected energy = -24.49 eV/cell
size of the total moment = 0.0000 μB/atom